! Ti3W2O12 (PBE+U, optimized geometry); values from VASP
&SYSTEM
  ibrav = 0, nat = 68, ntyp = 3
/
ATOMIC_SPECIES
Ti 47.87 Ti.upf
W 183.84 W.upf
O 16.00 O.upf
ATOMIC_POSITIONS crystal
Ti 0.0000 0.0278 0.2500
Ti 0.0000 0.9722 0.7500
Ti 0.1429 0.3912 0.6121
Ti 0.1429 0.6088 0.1121
Ti 0.3571 0.1088 0.1121
Ti 0.3571 0.8912 0.6121
Ti 0.5000 0.4722 0.7500
Ti 0.5000 0.5278 0.2500
Ti 0.6429 0.1088 0.3879
Ti 0.6429 0.8912 0.8879
Ti 0.8571 0.3912 0.8879
Ti 0.8571 0.6088 0.3879
W 0.1183 0.2490 0.9673
W 0.1183 0.7510 0.4673
W 0.3817 0.2510 0.4673
W 0.3817 0.7490 0.9673
W 0.6183 0.2510 0.0327
W 0.6183 0.7490 0.5327
W 0.8817 0.2490 0.5327
W 0.8817 0.7510 0.0327
O 0.0227 0.3154 0.5619
O 0.0227 0.6846 0.0619
O 0.0703 0.1409 0.1279
O 0.0703 0.8591 0.6279
O 0.0882 0.0864 0.8463
O 0.0882 0.9136 0.3463
O 0.1396 0.4165 0.0822
O 0.1396 0.5835 0.5822
O 0.1609 0.3530 0.7999
O 0.1609 0.6470 0.2999
O 0.2459 0.3143 0.5037
O 0.2459 0.6857 0.0037
O 0.2541 0.1857 0.0037
O 0.2541 0.8143 0.5037
O 0.3391 0.1470 0.2999
O 0.3391 0.8530 0.7999
O 0.3604 0.0835 0.5822
O 0.3604 0.9165 0.0822
O 0.4118 0.4136 0.3463
O 0.4118 0.5864 0.8463
O 0.4297 0.3591 0.6279
O 0.4297 0.6409 0.1279
O 0.4773 0.1846 0.0619
O 0.4773 0.8154 0.5619
O 0.5227 0.1846 0.4381
O 0.5227 0.8154 0.9381
O 0.5703 0.3591 0.8721
O 0.5703 0.6409 0.3721
O 0.5882 0.4136 0.1537
O 0.5882 0.5864 0.6537
O 0.6396 0.0835 0.9178
O 0.6396 0.9165 0.4178
O 0.6609 0.1470 0.2001
O 0.6609 0.8530 0.7001
O 0.7459 0.1857 0.4963
O 0.7459 0.8143 0.9963
O 0.7541 0.3143 0.9963
O 0.7541 0.6857 0.4963
O 0.8391 0.3530 0.7001
O 0.8391 0.6470 0.2001
O 0.8604 0.4165 0.4178
O 0.8604 0.5835 0.9178
O 0.9118 0.0864 0.6537
O 0.9118 0.9136 0.1537
O 0.9297 0.1409 0.3721
O 0.9297 0.8591 0.8721
O 0.9773 0.3154 0.9381
O 0.9773 0.6846 0.4381
CELL_PARAMETERS angstrom
13.1322 0.0000 0.0000
0.0000 9.3835 0.0000
0.0000 0.0000 9.4537
! Raw total energy   -561.1 eV per cell
! N(E_F)   0.000 states/eV/f.u.
! Symmetry   Pbcn, No. 60